# 1
Entry from the Alexandria database: a relaxed CeDyCdCu crystal (PBE).

Cell and atoms, written as extended XYZ:
```
4
Lattice="-0.030 -2.439 4.579 4.472 -1.430 2.207 1.692 2.444 4.252" Properties=species:S:1:pos:R:3 pbc="T T T"
Ce 1.534 -0.356 2.760
Cd 0.000 0.000 0.000
Dy 4.601 -1.069 8.279
Cu 3.067 -0.712 5.519
```

Results
Formation energy from the elements ... -38 kJ/mol of formula units



# 2
Entry from the Alexandria database: a relaxed YNb2C crystal (PBE).

Cell and atoms, written as extended XYZ:
```
8
Lattice="6.439 0.000 0.000 0.000 6.439 0.000 3.220 3.220 4.558" Properties=species:S:1:pos:R:3 pbc="T T T"
Nb 4.829 6.433 3.418
Nb 3.225 1.610 1.139
Nb 8.049 6.445 3.418
Nb 3.214 4.829 1.139
Y 6.439 3.220 2.279
Y 0.000 0.000 0.000
C 3.220 6.439 2.279
C 3.220 3.220 0.000
```

Results
Formation energy from the elements ... 190 kJ/mol of formula units



# 3
Entry from the Alexandria database: a relaxed Mg3WBr crystal (PBE).

Cell and atoms, written as extended XYZ:
```
5
Lattice="4.999 0.000 0.000 0.000 4.999 0.000 0.000 0.000 4.999" Properties=species:S:1:pos:R:3 pbc="T T T"
Mg 2.499 0.000 0.000
Mg 0.000 2.499 0.000
Mg 0.000 0.000 2.499
Br 0.000 0.000 0.000
W 2.499 2.499 2.499
```

Results
Energy above the most stable polymorph in this dataset ... 163 meV/atom
Formation energy from raw total energies ... 577 kJ/mol of formula units



Going through the records in order, we get DOS(E_F) values of 9.65, 2.86, 5.85 states/eV per cell.